# 1
Below is CuNiOF2 after structural relaxation, with properties calculated at the PBEsol level.

Output
Raw total energy, eV/atom: -4.38
Size of the total moment, Bohr magnetons per cell: 1.6
Formation energy (no corrections), eV per atom: -0.465

abc: 3.7540 3.7540 3.8311
angles: 90.00 90.00 90.00
Space group P4/mmm (No. 123)
Inequivalent atoms, fractional coordinates:
Cu1 0.0000 0.0000 0.0000 (multiplicity 1)
Ni1 0.5000 0.5000 0.5000 (multiplicity 1)
O1 0.0000 0.0000 0.5000 (multiplicity 1)
F1 0.0000 0.5000 0.0000 (multiplicity 2)


# 2
Below is YCuNi2F after structural relaxation, with properties calculated at the PBEsol level.

Output
Raw total energy, eV/atom: -5.30
Size of the total moment, Bohr magnetons per cell: 0.0
Formation energy (no corrections), eV per atom: -0.222

abc: 4.1137 4.1137 4.2647
angles: 90.00 90.00 90.00
Space group P4/mmm (No. 123)
Inequivalent atoms, fractional coordinates:
Y1 0.0000 0.0000 0.0000 (multiplicity 1)
Cu1 0.5000 0.5000 0.0000 (multiplicity 1)
Ni1 0.0000 0.5000 0.5000 (multiplicity 2)
F1 0.0000 0.0000 0.5000 (multiplicity 1)


# 3
Below is Cu2O2F after structural relaxation, with properties calculated at the PBEsol level.

Output
Raw total energy, eV/atom: -4.94
Size of the total moment, Bohr magnetons per cell: 0.0
Formation energy (no corrections), eV per atom: -0.719

abc: 3.6651 3.6651 10.0790
angles: 90.00 90.00 90.00
Space group I4/mmm (No. 139)
Inequivalent atoms, fractional coordinates:
Cu1 0.0000 0.0000 0.1916 (multiplicity 4)
O1 0.0000 0.5000 0.2500 (multiplicity 4)
F1 0.0000 0.0000 0.0000 (multiplicity 2)


# 4
Below is Rb2Cu3P4O12F4 after structural relaxation, with properties calculated at the PBEsol level.

Output
Raw total energy, eV/atom: -6.32
Size of the total moment, Bohr magnetons per cell: 6.0
Formation energy (no corrections), eV per atom: -1.967

abc: 7.7844 9.4719 9.2218
angles: 90.00 94.90 90.00
Space group P2_1/c (No. 14)
Inequivalent atoms, fractional coordinates:
Rb1 0.1234 0.0410 0.1870 (multiplicity 4)
Cu1 0.3871 0.6466 0.3146 (multiplicity 4)
Cu2 0.5000 0.0000 0.5000 (multiplicity 2)
P1 0.1874 0.6843 0.0192 (multiplicity 4)
P2 0.3948 0.1882 0.8908 (multiplicity 4)
O1 0.1783 0.6678 0.1828 (multiplicity 4)
O2 0.2377 0.6661 0.4754 (multiplicity 4)
O3 0.2771 0.5659 0.9428 (multiplicity 4)
O4 0.4053 0.1624 0.0541 (multiplicity 4)
O5 0.4503 0.0771 0.7893 (multiplicity 4)
O6 0.4660 0.1626 0.3558 (multiplicity 4)
F1 0.0062 0.1661 0.5475 (multiplicity 4)
F2 0.1904 0.2038 0.8534 (multiplicity 4)


Among the records above, which one has the highest size of the total moment?
Rb2Cu3P4O12F4


formation energy (no corrections) of number 4 (Rb2Cu3P4O12F4)?
-1.967 eV per atom


size of the total moment of number 2 (YCuNi2F)?
0.0 Bohr magnetons per cell